CdFeClF2 PBE+U relaxed; raw total energy = -3.49 eV per atom; SG = P4/mmm; total magnetic moment = 3.0 μB/f.u.; mass density = 4.0 g cm⁻³; V = 20.25 Å³ per atom
1.0
4.2901 0.0000 0.0000
0.0000 4.2901 0.0000
0.0000 0.0000 5.5001
Cd Fe Cl F
1 1 1 2
direct
0.0000 0.0000 0.0000
0.5000 0.5000 0.5000
0.0000 0.0000 0.5000
0.0000 0.5000 0.0000
0.5000 0.0000 0.0000